Compound: Cs3Dy2ZrTe6
Source: the Alexandria database
Functional: PBE-GGA
Structure: relaxed

Cell and atoms, written as POSCAR:
```
Cs3Dy2ZrTe6
1.0
3.859 -6.685 0.000
3.859 6.685 0.000
-2.575 0.000 8.936
Cs Dy Zr Te
3 2 1 6
direct
0.000 0.000 0.000
0.330 0.670 0.000
0.670 0.330 0.000
0.166 0.834 0.500
0.834 0.166 0.500
0.500 0.500 0.500
0.115 0.437 0.312
0.241 0.241 0.690
0.437 0.115 0.312
0.563 0.885 0.688
0.759 0.759 0.310
0.885 0.563 0.688
```

Calculated values
Calculated volume   38.4 Å³/atom
SG   No. 12
D(E_F)   5.4 states/eV per cell
E_form (uncorrected)   -1.216 eV per atom



Compound: CsDy4Tl5
Source: the Alexandria database
Functional: PBE-GGA
Structure: relaxed

Cell and atoms, written as POSCAR:
```
CsDy4Tl5
1.0
3.848 0.000 0.000
0.000 3.848 0.000
0.000 0.000 20.598
Cs Dy Tl
1 4 5
direct
0.000 0.000 0.000
0.000 0.000 0.226
0.000 0.000 0.409
0.000 0.000 0.591
0.000 0.000 0.774
0.500 0.500 0.142
0.500 0.500 0.318
0.500 0.500 0.500
0.500 0.500 0.682
0.500 0.500 0.858
```

Calculated values
Total DFT energy (no corrections)   -33.811 eV for the cell shown
Calculated volume   30.5 Å³/atom
SG   No. 123
D(E_F)   6.3 states/eV per cell



Compound: CsDyTl2
Source: the Alexandria database
Functional: PBE-GGA
Structure: relaxed

Cell and atoms, written as POSCAR:
```
CsDyTl2
1.0
1.933 1.116 11.157
-1.933 1.116 11.157
0.000 -2.233 11.157
Cs Dy Tl
1 1 2
direct
0.000 0.000 0.000
0.500 0.500 0.500
0.238 0.238 0.238
0.762 0.762 0.762
```

Calculated values
E above lowest polymorph   171.1 meV/atom
Calculated volume   36.1 Å³/atom
SG   No. 166
D(E_F)   4.4 states/eV per cell



Compound: CsDyTl2
Source: the Alexandria database
Functional: PBE-GGA
Structure: relaxed

Cell and atoms, written as POSCAR:
```
CsDyTl2
1.0
3.926 0.000 0.000
0.000 3.926 0.000
0.000 0.000 9.262
Cs Dy Tl
1 1 2
direct
0.000 0.000 0.000
0.000 0.000 0.500
0.500 0.500 0.311
0.500 0.500 0.689
```

Calculated values
E above lowest polymorph   0.0 meV/atom
Calculated volume   35.7 Å³/atom
SG   No. 123
D(E_F)   2.5 states/eV per cell



Compound: CsEr4
Source: the Alexandria database
Functional: PBE-GGA
Structure: relaxed

Cell and atoms, written as POSCAR:
```
CsEr4
1.0
5.620 0.000 0.000
0.000 5.620 0.000
0.000 0.000 5.620
Cs Er
1 4
direct
0.000 0.000 0.000
0.000 0.000 0.500
0.000 0.500 0.000
0.500 0.000 0.000
0.500 0.500 0.500
```

Calculated values
Total DFT energy (no corrections)   -13.366 eV for the cell shown
Calculated volume   35.5 Å³/atom
SG   No. 221
D(E_F)   3.9 states/eV per cell



Compound: CsEr2F7
Source: the Alexandria database
Functional: PBE-GGA
Structure: relaxed

Cell and atoms, written as POSCAR:
```
CsEr2F7
1.0
3.498 -5.795 0.000
3.498 5.795 0.000
0.000 0.000 4.377
Cs Er F
1 2 7
direct
0.000 0.000 0.000
0.309 0.691 0.500
0.691 0.309 0.500
0.039 0.339 0.500
0.302 0.698 0.000
0.339 0.039 0.500
0.500 0.500 0.500
0.661 0.961 0.500
0.698 0.302 0.000
0.961 0.661 0.500
```

Calculated values
Calculated volume   17.7 Å³/atom
SG   No. 65
D(E_F)   0.0 states/eV per cell
E_form (uncorrected)   -3.937 eV per atom